LiMg2NiS (PBE, relaxed); space-group type = No. 123; DOS(E_F) = 2.74 states/eV/cell; formation energy without anion corrections = -0.0859 eV per atom
1.0
4.9141 0.0000 0.0000
0.0000 4.9141 0.0000
0.0000 0.0000 4.1945
Li Mg Ni S
1 2 1 1
Direct
0.0000 0.0000 0.0000
0.0000 0.5000 0.5000
0.5000 0.0000 0.5000
0.5000 0.5000 0.0000
0.5000 0.5000 0.5000

LiMg2NiSn (PBE, relaxed); calculated formation energy = -0.0962 eV per atom; space-group type = No. 123; DOS(E_F) = 1.62 states/eV/cell
1.0
4.8766 0.0000 0.0000
0.0000 4.8766 0.0000
0.0000 0.0000 4.7817
Li Mg Ni Sn
1 2 1 1
Direct
0.0000 0.0000 0.0000
0.0000 0.5000 0.5000
0.5000 0.0000 0.5000
0.5000 0.5000 0.5000
0.5000 0.5000 0.0000

Among the records above, which one has the highest DOS(E_F)? LiMg2NiS